Entry 1:
The following is a DFT calculation (PBE-GGA) of a relaxed PrGaAgSn crystal.

CIF file:
```
data_PrGaAgSn
_chemical_formula_sum 'Pr1 Ga1 Ag1 Sn1'
_cell_length_a 5.114
_cell_length_b 5.114
_cell_length_c 5.114
_cell_angle_alpha 60.00
_cell_angle_beta 60.00
_cell_angle_gamma 60.00
_symmetry_space_group_name_H-M 'P 1'
_symmetry_Int_Tables_number 1
loop_
_symmetry_equiv_pos_as_xyz
'x,y,z'
loop_
_atom_site_label
_atom_site_fract_x
_atom_site_fract_y
_atom_site_fract_z
Pr1 0.000 0.000 0.000
Ga1 0.750 0.750 0.750
Sn1 0.500 0.500 0.500
Ag1 0.250 0.250 0.250
```

Summary:
Formation energy: -0.32 eV per atom
Uncorrected energy: -15.95 eV/cell



Entry 2:
The following is a DFT calculation (PBE-GGA) of a relaxed Cs7Hg4Au crystal.

CIF file:
```
data_Cs7Hg4Au
_chemical_formula_sum 'Cs7 Hg4 Au1'
_cell_length_a 6.621
_cell_length_b 10.007
_cell_length_c 13.370
_cell_angle_alpha 121.56
_cell_angle_beta 104.34
_cell_angle_gamma 90.00
_symmetry_space_group_name_H-M 'P 1'
_symmetry_Int_Tables_number 1
loop_
_symmetry_equiv_pos_as_xyz
'x,y,z'
loop_
_atom_site_label
_atom_site_fract_x
_atom_site_fract_y
_atom_site_fract_z
Cs1 0.146 0.376 0.292
Cs2 0.854 0.624 0.708
Cs3 0.930 0.224 0.860
Cs4 0.070 0.776 0.140
Cs5 0.712 0.793 0.425
Cs6 0.500 0.000 0.000
Cs7 0.288 0.207 0.575
Hg1 0.457 0.562 0.914
Hg2 0.543 0.438 0.086
Hg3 0.316 0.834 0.631
Hg4 0.684 0.166 0.369
Au1 0.000 0.000 0.000
```

Summary:
Formation energy: -0.18 eV per atom
Uncorrected energy: -12.67 eV/cell



Entry 3:
The following is a DFT calculation (PBE-GGA) of a relaxed TlNiW2 crystal.

CIF file:
```
data_TlNiW2
_chemical_formula_sum 'Tl1 Ni1 W2'
_cell_length_a 4.541
_cell_length_b 4.541
_cell_length_c 4.541
_cell_angle_alpha 60.00
_cell_angle_beta 60.00
_cell_angle_gamma 60.00
_symmetry_space_group_name_H-M 'P 1'
_symmetry_Int_Tables_number 1
loop_
_symmetry_equiv_pos_as_xyz
'x,y,z'
loop_
_atom_site_label
_atom_site_fract_x
_atom_site_fract_y
_atom_site_fract_z
Ni1 0.500 0.500 0.500
Tl1 0.750 0.750 0.750
W1 0.000 0.000 0.000
W2 0.250 0.250 0.250
```

Summary:
Formation energy: 0.77 eV per atom
Energy relative to the lowest polymorph listed for this composition: 280.0 meV/atom
Uncorrected energy: -30.97 eV/cell



Entry 4:
The following is a DFT calculation (PBE-GGA) of a relaxed La6YTm8 crystal.

CIF file:
```
data_La6YTm8
_chemical_formula_sum 'La6 Y1 Tm8'
_cell_length_a 8.808
_cell_length_b 8.808
_cell_length_c 8.808
_cell_angle_alpha 61.65
_cell_angle_beta 61.65
_cell_angle_gamma 61.65
_symmetry_space_group_name_H-M 'P 1'
_symmetry_Int_Tables_number 1
loop_
_symmetry_equiv_pos_as_xyz
'x,y,z'
loop_
_atom_site_label
_atom_site_fract_x
_atom_site_fract_y
_atom_site_fract_z
La1 0.910 0.467 0.767
La2 0.233 0.090 0.533
La3 0.533 0.233 0.090
La4 0.467 0.767 0.910
La5 0.767 0.910 0.467
La6 0.090 0.533 0.233
Y1 0.000 0.000 0.000
Tm1 0.114 0.703 0.766
Tm2 0.234 0.886 0.297
Tm3 0.297 0.234 0.886
Tm4 0.577 0.577 0.577
Tm5 0.423 0.423 0.423
Tm6 0.703 0.766 0.114
Tm7 0.766 0.114 0.703
Tm8 0.886 0.297 0.234
```

Summary:
Formation energy: 0.12 eV per atom
Energy relative to the lowest polymorph listed for this composition: 0.0 meV/atom
Uncorrected energy: -70.02 eV/cell



Entry 5:
The following is a DFT calculation (PBE-GGA) of a relaxed TbPm3Ga3 crystal.

CIF file:
```
data_TbPm3Ga3
_chemical_formula_sum 'Tb2 Pm6 Ga6'
_cell_length_a 7.314
_cell_length_b 7.314
_cell_length_c 7.020
_cell_angle_alpha 90.02
_cell_angle_beta 90.02
_cell_angle_gamma 88.58
_symmetry_space_group_name_H-M 'P 1'
_symmetry_Int_Tables_number 1
loop_
_symmetry_equiv_pos_as_xyz
'x,y,z'
loop_
_atom_site_label
_atom_site_fract_x
_atom_site_fract_y
_atom_site_fract_z
Tb1 0.760 0.760 0.000
Tb2 0.240 0.240 0.000
Pm1 0.740 0.740 0.500
Pm2 0.245 0.755 0.500
Pm3 0.755 0.245 0.500
Pm4 0.271 0.729 0.000
Pm5 0.729 0.271 0.000
Pm6 0.260 0.260 0.500
Ga1 0.000 0.000 0.242
Ga2 0.000 0.500 0.758
Ga3 0.500 0.000 0.758
Ga4 0.000 0.500 0.242
Ga5 0.500 0.000 0.242
Ga6 0.000 0.000 0.758
```

Summary:
Formation energy: -0.43 eV per atom
Uncorrected energy: -62.00 eV/cell



Entry 6:
The following is a DFT calculation (PBE-GGA) of a relaxed K4Ac3ZnO8 crystal.

CIF file:
```
data_K4Ac3ZnO8
_chemical_formula_sum 'K4 Ac3 Zn1 O8'
_cell_length_a 7.236
_cell_length_b 7.495
_cell_length_c 7.657
_cell_angle_alpha 117.00
_cell_angle_beta 118.20
_cell_angle_gamma 90.00
_symmetry_space_group_name_H-M 'P 1'
_symmetry_Int_Tables_number 1
loop_
_symmetry_equiv_pos_as_xyz
'x,y,z'
loop_
_atom_site_label
_atom_site_fract_x
_atom_site_fract_y
_atom_site_fract_z
K1 0.500 0.000 0.000
K2 0.500 0.000 0.500
K3 0.000 0.000 0.000
K4 0.000 0.000 0.500
Ac1 0.500 0.500 0.000
Ac2 0.500 0.500 0.500
Ac3 0.000 0.500 0.500
Zn1 0.000 0.500 0.000
O1 0.187 0.667 0.947
O2 0.280 0.744 0.560
O3 0.281 0.303 0.562
O4 0.760 0.667 0.947
O5 0.240 0.333 0.053
O6 0.719 0.697 0.438
O7 0.720 0.256 0.440
O8 0.813 0.333 0.053
```

Summary:
ΔE_f (raw): -33.79 eV per formula unit
Uncorrected energy: -91.44 eV/cell



Which of these has the highest uncorrected energy?
Cs7Hg4Au



Which value of uncorrected energy does entry 6 give?
-91.44 eV/cell



Which of these has the highest uncorrected energy?
Cs7Hg4Au



What is the uncorrected energy in the first record?
-15.95 eV/cell